1.
{
  "formula": "TcIr2Br",
  "functional": "meta-GGA SCAN",
  "state": "single point on PBEsol structure",
  "lattice_angstrom": [[-1.978, 1.978, 3.851], [1.978, -1.978, 3.851], [1.978, 1.978, -3.851]],
  "species": ["Tc", "Ir", "Ir", "Br"],
  "fractional_positions": [[0.000, 0.000, 0.000], [0.250, 0.750, 0.500], [0.750, 0.250, 0.500], [0.500, 0.500, 0.000]],
  "mass_density_g_cm3": 15.5,
  "spacegroup": "I4/mmm, No. 139",
  "formation_energy_uncorrected_ev_per_atom": 1.117,
  "dos_at_fermi_per_ev_cell": 2.9
}

=====

2.
{
  "formula": "TeIr3Br",
  "functional": "meta-GGA SCAN",
  "state": "single point on PBEsol structure",
  "lattice_angstrom": [[4.855, 0.000, 0.000], [0.000, 4.855, 0.000], [0.000, 0.000, 4.855]],
  "species": ["Te", "Ir", "Ir", "Ir", "Br"],
  "fractional_positions": [[0.000, 0.000, 0.000], [0.000, 0.000, 0.500], [0.000, 0.500, 0.000], [0.500, 0.000, 0.000], [0.500, 0.500, 0.500]],
  "mass_density_g_cm3": 11.4,
  "spacegroup": "Pm-3m, No. 221",
  "formation_energy_uncorrected_ev_per_atom": 1.991,
  "dos_at_fermi_per_ev_cell": 5.2
}

=====

3.
{
  "formula": "Te3IrBr",
  "functional": "meta-GGA SCAN",
  "state": "single point on PBEsol structure",
  "lattice_angstrom": [[5.307, 0.000, 0.000], [0.000, 5.307, 0.000], [0.000, 0.000, 5.307]],
  "species": ["Te", "Te", "Te", "Ir", "Br"],
  "fractional_positions": [[0.000, 0.000, 0.500], [0.000, 0.500, 0.000], [0.500, 0.000, 0.000], [0.500, 0.500, 0.500], [0.000, 0.000, 0.000]],
  "mass_density_g_cm3": 7.3,
  "spacegroup": "Pm-3m, No. 221",
  "formation_energy_uncorrected_ev_per_atom": 1.888,
  "dos_at_fermi_per_ev_cell": 6.3
}

=====

4.
{
  "formula": "TlTeIrBr2",
  "functional": "meta-GGA SCAN",
  "state": "single point on PBEsol structure",
  "lattice_angstrom": [[4.915, 0.000, 0.000], [0.000, 4.915, 0.000], [0.000, 0.000, 5.431]],
  "species": ["Tl", "Te", "Ir", "Br", "Br"],
  "fractional_positions": [[0.000, 0.000, 0.000], [0.500, 0.500, 0.000], [0.000, 0.000, 0.500], [0.000, 0.500, 0.500], [0.500, 0.000, 0.500]],
  "mass_density_g_cm3": 8.7,
  "spacegroup": "P4/mmm, No. 123",
  "formation_energy_uncorrected_ev_per_atom": 0.380,
  "dos_at_fermi_per_ev_cell": 5.4
}

=====

5.
{
  "formula": "TiIr2Br",
  "functional": "meta-GGA SCAN",
  "state": "single point on PBEsol structure",
  "lattice_angstrom": [[0.000, 3.162, 3.162], [3.162, 0.000, 3.162], [3.162, 3.162, 0.000]],
  "species": ["Ti", "Ir", "Ir", "Br"],
  "fractional_positions": [[0.000, 0.000, 0.000], [0.250, 0.250, 0.250], [0.750, 0.750, 0.750], [0.500, 0.500, 0.500]],
  "mass_density_g_cm3": 13.5,
  "spacegroup": "Fm-3m, No. 225",
  "formation_energy_uncorrected_ev_per_atom": 0.582,
  "dos_at_fermi_per_ev_cell": 3.2
}

=====

6.
{
  "formula": "TlIr3Br",
  "functional": "meta-GGA SCAN",
  "state": "single point on PBEsol structure",
  "lattice_angstrom": [[4.973, 0.000, 0.000], [0.000, 4.973, 0.000], [0.000, 0.000, 4.973]],
  "species": ["Tl", "Ir", "Ir", "Ir", "Br"],
  "fractional_positions": [[0.000, 0.000, 0.000], [0.000, 0.000, 0.500], [0.000, 0.500, 0.000], [0.500, 0.000, 0.000], [0.500, 0.500, 0.500]],
  "mass_density_g_cm3": 11.6,
  "spacegroup": "Pm-3m, No. 221",
  "formation_energy_uncorrected_ev_per_atom": 2.637,
  "dos_at_fermi_per_ev_cell": 6.2
}

=====

7.
{
  "formula": "TlIrBr",
  "functional": "meta-GGA SCAN",
  "state": "single point on PBEsol structure",
  "lattice_angstrom": [[0.000, 3.302, 3.302], [3.302, 0.000, 3.302], [3.302, 3.302, 0.000]],
  "species": ["Tl", "Ir", "Br"],
  "fractional_positions": [[0.000, 0.000, 0.000], [0.250, 0.250, 0.250], [0.750, 0.750, 0.750]],
  "mass_density_g_cm3": 11.0,
  "spacegroup": "F-43m, No. 216",
  "formation_energy_uncorrected_ev_per_atom": 1.324,
  "dos_at_fermi_per_ev_cell": 2.1
}

=====

8.
{
  "formula": "TlIrBr",
  "functional": "meta-GGA SCAN",
  "state": "single point on PBEsol structure",
  "lattice_angstrom": [[0.000, 2.743, 6.735], [1.675, 0.000, 6.735], [1.675, 2.743, 0.000]],
  "species": ["Tl", "Ir", "Br"],
  "fractional_positions": [[0.000, 0.000, 0.000], [0.663, 0.663, 0.337], [0.303, 0.303, 0.697]],
  "mass_density_g_cm3": 12.8,
  "spacegroup": "Fmm2, No. 42",
  "formation_energy_uncorrected_ev_per_atom": 0.801,
  "dos_at_fermi_per_ev_cell": 2.1
}

=====

9.
{
  "formula": "TlIrBr",
  "functional": "meta-GGA SCAN",
  "state": "single point on PBEsol structure",
  "lattice_angstrom": [[4.559, 0.000, 0.000], [-2.280, 3.948, 0.000], [0.000, 0.000, 3.297]],
  "species": ["Tl", "Ir", "Br"],
  "fractional_positions": [[0.000, 0.000, 0.000], [0.667, 0.333, 0.500], [0.333, 0.667, 0.500]],
  "mass_density_g_cm3": 13.3,
  "spacegroup": "P-6m2, No. 187",
  "formation_energy_uncorrected_ev_per_atom": 0.778,
  "dos_at_fermi_per_ev_cell": 1.9
}

=====

10.
{
  "formula": "TlIrBr2",
  "functional": "meta-GGA SCAN",
  "state": "single point on PBEsol structure",
  "lattice_angstrom": [[3.455, 0.000, 0.000], [0.000, 3.455, 0.000], [0.000, 0.000, 7.875]],
  "species": ["Tl", "Ir", "Br", "Br"],
  "fractional_positions": [[0.000, 0.000, 0.000], [0.500, 0.500, 0.666], [0.000, 0.000, 0.579], [0.500, 0.500, 0.239]],
  "mass_density_g_cm3": 9.8,
  "spacegroup": "P4mm, No. 99",
  "formation_energy_uncorrected_ev_per_atom": 0.430,
  "dos_at_fermi_per_ev_cell": 1.3
}

=====

11.
{
  "formula": "Tl3IrBr",
  "functional": "meta-GGA SCAN",
  "state": "single point on PBEsol structure",
  "lattice_angstrom": [[5.240, 0.000, 0.000], [0.000, 5.240, 0.000], [0.000, 0.000, 5.240]],
  "species": ["Tl", "Tl", "Tl", "Ir", "Br"],
  "fractional_positions": [[0.000, 0.000, 0.500], [0.000, 0.500, 0.000], [0.500, 0.000, 0.000], [0.000, 0.000, 0.000], [0.500, 0.500, 0.500]],
  "mass_density_g_cm3": 10.2,
  "spacegroup": "Pm-3m, No. 221",
  "formation_energy_uncorrected_ev_per_atom": -0.322,
  "dos_at_fermi_per_ev_cell": 1.7
}

=====

12.
{
  "formula": "TlIr2Br",
  "functional": "meta-GGA SCAN",
  "state": "single point on PBEsol structure",
  "lattice_angstrom": [[-1.452, 2.203, 5.920], [1.452, -2.203, 5.920], [1.452, 2.203, -5.920]],
  "species": ["Tl", "Ir", "Ir", "Br"],
  "fractional_positions": [[0.000, 0.000, 0.000], [0.590, 0.590, 0.000], [0.776, 0.276, 0.500], [0.283, 0.783, 0.500]],
  "mass_density_g_cm3": 14.7,
  "spacegroup": "Imm2, No. 44",
  "formation_energy_uncorrected_ev_per_atom": 0.885,
  "dos_at_fermi_per_ev_cell": 3.9
}

=====

13.
{
  "formula": "TlIr2Br",
  "functional": "meta-GGA SCAN",
  "state": "single point on PBEsol structure",
  "lattice_angstrom": [[-2.148, 2.148, 3.752], [2.148, -2.148, 3.752], [2.148, 2.148, -3.752]],
  "species": ["Tl", "Ir", "Ir", "Br"],
  "fractional_positions": [[0.000, 0.000, 0.000], [0.250, 0.750, 0.500], [0.750, 0.250, 0.500], [0.500, 0.500, 0.000]],
  "mass_density_g_cm3": 16.0,
  "spacegroup": "I4/mmm, No. 139",
  "formation_energy_uncorrected_ev_per_atom": 1.297,
  "dos_at_fermi_per_ev_cell": 4.1
}

=====

14.
{
  "formula": "Tl2IrBr",
  "functional": "meta-GGA SCAN",
  "state": "single point on PBEsol structure",
  "lattice_angstrom": [[3.388, 0.000, 0.000], [0.000, 4.143, 0.000], [0.000, 0.000, 7.568]],
  "species": ["Tl", "Tl", "Ir", "Br"],
  "fractional_positions": [[0.000, 0.000, 0.000], [0.500, 0.500, 0.389], [0.500, 0.500, 0.036], [0.000, 0.000, 0.591]],
  "mass_density_g_cm3": 10.6,
  "spacegroup": "Pmm2, No. 25",
  "formation_energy_uncorrected_ev_per_atom": 0.223,
  "dos_at_fermi_per_ev_cell": 1.8
}

=====

15.
{
  "formula": "TlIrBr2",
  "functional": "meta-GGA SCAN",
  "state": "single point on PBEsol structure",
  "lattice_angstrom": [[1.793, -3.031, 0.000], [1.793, 3.031, 0.000], [0.000, 0.000, 8.981]],
  "species": ["Tl", "Ir", "Br", "Br"],
  "fractional_positions": [[0.000, 0.000, 0.000], [0.000, 0.000, 0.500], [0.500, 0.500, 0.313], [0.500, 0.500, 0.687]],
  "mass_density_g_cm3": 9.5,
  "spacegroup": "Cmmm, No. 65",
  "formation_energy_uncorrected_ev_per_atom": 0.267,
  "dos_at_fermi_per_ev_cell": 1.7
}